1.
The following is a PBE calculation of an optimized crystal structure of TaZnCdFe, from OQMD via LeMat-Bulk.

Cell and atoms, written as POSCAR:
```
TaZnCdFe
1.0
0.000 3.163 3.163
3.163 0.000 3.163
3.163 3.163 0.000
Zn Cd Fe Ta
1 1 1 1
Cartesian
0.000 0.000 0.000
1.582 1.582 1.582
4.745 4.745 4.745
3.163 3.163 3.163
```

Summary:
* crystal system: cubic
* total DFT energy (no corrections): -20.984 eV per formula unit
* total magnetic moment: 1.3 Bohr magnetons per cell
* polymorph energy (0 for the lowest one): 0.00 eV/f.u.
* energy relative to the elements: 32.25 kJ per mole of atoms

=====

2.
The following is a PBE calculation of an optimized crystal structure of LiAg2Bi, from OQMD via LeMat-Bulk.

Cell and atoms, written as POSCAR:
```
LiAg2Bi
1.0
0.639 -4.269 -2.227
0.863 -4.000 2.617
-3.397 -3.454 0.349
Li Ag Bi
1 2 1
Cartesian
-0.474 -2.931 0.185
-1.421 -8.793 0.554
0.000 0.000 0.000
-0.948 -5.862 0.369
```

Summary:
* crystal system: cubic
* total DFT energy (no corrections): -12.168 eV per formula unit